No. 1
# Zr2CdW

Zr2CdW after structural relaxation (PBE-GGA, the Open Quantum Materials Database).

a b c (Å): 4.821 4.821 4.821
angles (deg): 60.00 60.00 60.00
Positions (direct):
W: 0.750 0.750 0.750
Zr: 0.250 0.250 0.250
Cd: 0.500 0.500 0.500
Zr: 0.000 0.000 0.000

Values from the calculation:
- Energy of formation: 0.36 eV per atom
- Size of the total moment: 0.1 μB/f.u.

No. 2
# YHoBPb

YHoBPb after structural relaxation (PBE-GGA, the Open Quantum Materials Database).

a b c (Å): 3.688 3.688 16.664
angles (deg): 90.00 90.00 120.00
Positions (direct):
Ho: 0.333 0.667 0.089
B: 0.000 0.000 0.000
Y: 0.667 0.333 0.591
B: 0.000 0.000 0.500
Ho: 0.667 0.333 0.911
Pb: 0.333 0.667 0.751
Pb: 0.667 0.333 0.249
Y: 0.333 0.667 0.409

Values from the calculation:
- VASP energy: -44.61 eV for the cell shown
- Size of the total moment: 0.1 μB/f.u.

No. 3
# Cs2DyErO4

Cs2DyErO4 after structural relaxation (PBE-GGA, the Open Quantum Materials Database).

a b c (Å): 3.513 3.513 13.559
angles (deg): 90.00 90.00 120.00
Positions (direct):
O: 0.333 0.667 0.084
O: 0.667 0.333 0.916
O: 0.333 0.667 0.418
Er: 0.000 0.000 0.500
Dy: 0.000 0.000 0.000
Cs: 0.667 0.333 0.250
O: 0.667 0.333 0.582
Cs: 0.333 0.667 0.750

Values from the calculation:
- VASP energy: -51.78 eV for the cell shown
- Size of the total moment: 0.0 μB/f.u.

No. 4
# LiNbTc

LiNbTc after structural relaxation (PBE-GGA, the Open Quantum Materials Database).

a b c (Å): 4.229 4.229 4.229
angles (deg): 60.00 60.00 60.00
Positions (direct):
Tc: 0.250 0.250 0.250
Li: 0.500 0.500 0.500
Nb: 0.000 0.000 0.000

Values from the calculation:
- VASP energy: -20.02 eV for the cell shown
- Size of the total moment: 0.0 μB/f.u.

Question: Which formula does entry 3 have?
Answer: Cs2DyErO4